[1]
14
Lattice="7.3295 -0.2396 -0.0009 -0.2229 7.3300 -0.0009 0.0012 0.0012 7.2935" Properties=species:S:1:pos:R:3 comment="NaMg3Pb3 | Alexandria via LeMat-Bulk | PBE-GGA | optimized geometry" spacegroup="Cmmm (65)" pbc="T T T"
Mg 1.5209 5.5822 -0.0009
Mg 5.2085 5.1967 3.6455
Mg 2.0859 5.0171 3.6459
Mg 1.8992 1.8949 3.6462
Mg 5.5856 1.5082 -0.0009
Mg 5.0218 2.0745 3.6459
Na 4.9400 4.9287 -0.0012
Na 2.1678 2.1628 7.2929
Pb 0.0004 0.0004 1.9301
Pb 3.6657 -0.1188 5.4585
Pb -0.1104 3.6659 5.4585
Pb 7.1074 7.0912 5.3616
Pb 7.2182 3.4256 1.8332
Pb 3.4421 7.2103 1.8332


[2]
11
Lattice="-0.0640 0.9317 4.6807 6.6362 -4.7467 1.0356 1.4490 8.2656 -4.0589" Properties=species:S:1:pos:R:3 comment="Na3Mg4Pb4 | Alexandria via LeMat-Bulk | PBE-GGA | optimized geometry" spacegroup="Immm (71)" pbc="T T T"
Mg 3.6147 1.2694 2.2303
Mg 4.4065 3.1811 -0.5729
Mg 6.2733 -0.6322 2.6452
Mg 1.7480 5.0827 -0.9878
Pb 5.3486 -3.3827 3.1800
Pb 5.3709 0.3829 -0.0028
Pb 2.6504 4.0676 1.6601
Pb 1.2237 -0.4323 2.5363
Na 3.3181 -2.3734 0.5178
Na 6.8931 2.9357 1.9435
Na 1.1282 1.5148 -0.2861


[3]
8
Lattice="-2.6252 2.0280 0.7239 1.7197 -1.4640 10.3372 4.4788 4.9065 -5.4655" Properties=species:S:1:pos:R:3 comment="Na3MgPb4 | Alexandria via LeMat-Bulk | PBE-GGA | optimized geometry" spacegroup="Immm (71)" pbc="T T T"
Pb 3.4260 3.4909 2.6445
Pb 2.5622 4.2263 -2.5478
Pb 0.1473 1.9795 2.9511
Pb 1.0111 1.2441 8.1434
Na 1.8607 2.3979 0.0301
Na 1.7126 3.0724 5.5656
Na 0.8598 -0.7320 5.1686
Mg -1.3126 1.0140 0.3620


[4]
12
Lattice="5.5477 -0.7298 0.2615 0.6832 6.0655 2.1000 -0.4808 0.0077 10.0550" Properties=species:S:1:pos:R:3 comment="Na4MgPb | Alexandria via LeMat-Bulk | PBE-GGA | optimized geometry" spacegroup="C2/c (15)" pbc="T T T"
Na 4.5325 5.2536 8.0703
Na 1.5544 3.0911 5.3852
Na 1.2176 0.0898 4.3462
Na 1.4976 1.1293 1.3594
Na 4.1956 2.2523 7.0313
Na 1.8220 4.0660 2.3755
Na 3.9280 1.2774 10.0410
Na 4.2525 4.2141 11.0571
Pb 4.2908 1.7074 3.5620
Pb 1.4592 3.6360 8.8545
Mg 4.6462 4.7907 4.4615
Mg 1.1039 0.5527 7.9550


no.,DFT formation energy (eV per atom),density of states at the Fermi level (states/eV/atom),V (Å³ per cell)
1,-0.039,0.31,391
2,-0.097,0.34,315
3,-0.061,0.51,236
4,-0.042,0.52,345